{"formula": "Rh5Pb3", "functional": "SCAN", "state": "single point on PBEsol structure", "lattice_angstrom": [[-0.4654, 2.4341, 3.3953], [-4.4736, -3.0963, 1.6065], [3.9998, -2.9897, 2.6916]], "species": ["Pb", "Pb", "Pb", "Rh", "Rh", "Rh", "Rh", "Rh"], "fractional_positions": [[0.5000, 0.7901, 0.2099], [0.5000, 0.2099, 0.7901], [0.0000, 0.5000, 0.5000], [0.5000, 0.2794, 0.2794], [0.0000, 0.5000, 0.0000], [0.0000, 0.0000, 0.5000], [0.5000, 0.7206, 0.7206], [0.0000, 0.0000, 0.0000]], "m_tot_mub_per_fu": 0.000, "density_g_cm3": 14.1, "e_tot_ry_per_atom": -3.63402, "spacegroup": "Cmmm (65)"}